Entry 1:
Material: CaRe2Ni
Method: DFT, PBE
State: optimized geometry

The structure in CIF format:
```
data_CaRe2Ni
_chemical_formula_sum 'Ca1 Re2 Ni1'
_space_group_name_H-M_alt 'P 1'
_space_group_IT_number 1
_cell_length_a 2.671
_cell_length_b 2.671
_cell_length_c 8.872
_cell_angle_alpha 90.00
_cell_angle_beta 90.00
_cell_angle_gamma 90.00
loop_
_space_group_symop_operation_xyz
'x,y,z'
loop_
_atom_site_label
_atom_site_fract_x
_atom_site_fract_y
_atom_site_fract_z
_atom_site_occupancy
Ca1 0.000 0.000 0.000 1
Re1 0.500 0.500 0.290 1
Re2 0.500 0.500 0.710 1
Ni1 0.000 0.000 0.500 1
```

Results
energy = -7.725 eV/atom
DOS at the Fermi energy = 1.55 states/eV/f.u.
symmetry = P4/mmm
energy relative to the elements = 0.4449 eV per atom

Entry 2:
Material: PrAl2Ag3
Method: DFT, PBE
State: optimized geometry

The structure in CIF format:
```
data_PrAl2Ag3
_chemical_formula_sum 'Pr2 Al4 Ag6'
_space_group_name_H-M_alt 'P 1'
_space_group_IT_number 1
_cell_length_a 8.621
_cell_length_b 8.621
_cell_length_c 7.784
_cell_angle_alpha 115.44
_cell_angle_beta 115.44
_cell_angle_gamma 29.12
loop_
_space_group_symop_operation_xyz
'x,y,z'
loop_
_atom_site_label
_atom_site_fract_x
_atom_site_fract_y
_atom_site_fract_z
_atom_site_occupancy
Pr1 0.149 0.149 0.071 1
Pr2 0.851 0.851 0.929 1
Al1 0.195 0.195 0.688 1
Al2 0.482 0.482 0.825 1
Al3 0.518 0.518 0.175 1
Al4 0.805 0.805 0.312 1
Ag1 0.037 0.037 0.369 1
Ag2 0.316 0.316 0.557 1
Ag3 0.397 0.397 0.303 1
Ag4 0.603 0.603 0.697 1
Ag5 0.684 0.684 0.443 1
Ag6 0.963 0.963 0.631 1
```

Results
energy = -3.706 eV/atom
DOS at the Fermi energy = 3.61 states/eV/f.u.
symmetry = C2/m
energy relative to the elements = -0.2368 eV per atom

Entry 3:
Material: NbMo8W2
Method: DFT, PBE
State: optimized geometry

The structure in CIF format:
```
data_NbMo8W2
_chemical_formula_sum 'Nb1 Mo8 W2'
_space_group_name_H-M_alt 'P 1'
_space_group_IT_number 1
_cell_length_a 6.926
_cell_length_b 6.926
_cell_length_c 6.934
_cell_angle_alpha 118.34
_cell_angle_beta 118.34
_cell_angle_gamma 37.87
loop_
_space_group_symop_operation_xyz
'x,y,z'
loop_
_atom_site_label
_atom_site_fract_x
_atom_site_fract_y
_atom_site_fract_z
_atom_site_occupancy
Nb1 0.000 0.000 0.000 1
Mo1 0.091 0.091 0.456 1
Mo2 0.183 0.183 0.908 1
Mo3 0.362 0.362 0.817 1
Mo4 0.455 0.455 0.274 1
Mo5 0.545 0.545 0.726 1
Mo6 0.638 0.638 0.183 1
Mo7 0.817 0.817 0.092 1
Mo8 0.909 0.909 0.544 1
W1 0.272 0.272 0.364 1
W2 0.728 0.728 0.636 1
```

Results
energy = -11.202 eV/atom
DOS at the Fermi energy = 4.69 states/eV/f.u.
symmetry = C2/m
energy relative to the elements = -0.0545 eV per atom

Entry 4:
Material: LiRhO
Method: DFT, PBE
State: optimized geometry

The structure in CIF format:
```
data_LiRhO
_chemical_formula_sum 'Li4 Rh4 O4'
_space_group_name_H-M_alt 'P 1'
_space_group_IT_number 1
_cell_length_a 7.525
_cell_length_b 6.479
_cell_length_c 5.803
_cell_angle_alpha 75.34
_cell_angle_beta 56.41
_cell_angle_gamma 48.26
loop_
_space_group_symop_operation_xyz
'x,y,z'
loop_
_atom_site_label
_atom_site_fract_x
_atom_site_fract_y
_atom_site_fract_z
_atom_site_occupancy
Li1 0.000 0.000 0.000 1
Li2 0.000 0.000 0.500 1
Li3 0.000 0.500 0.000 1
Li4 0.500 0.000 0.000 1
Rh1 0.253 0.497 0.253 1
Rh2 0.497 0.253 0.497 1
Rh3 0.503 0.747 0.503 1
Rh4 0.747 0.503 0.747 1
O1 0.091 0.091 0.659 1
O2 0.341 0.341 0.909 1
O3 0.659 0.659 0.091 1
O4 0.909 0.909 0.341 1
```

Results
energy = -5.187 eV/atom
DOS at the Fermi energy = 2.62 states/eV/f.u.
uncorrected formation energy = -0.4455 eV/atom
symmetry = Fddd

Entry 5:
Material: KAs3F
Method: DFT, PBE
State: optimized geometry

The structure in CIF format:
```
data_KAs3F
_chemical_formula_sum 'K1 As3 F1'
_space_group_name_H-M_alt 'P 1'
_space_group_IT_number 1
_cell_length_a 4.766
_cell_length_b 4.766
_cell_length_c 4.766
_cell_angle_alpha 90.00
_cell_angle_beta 90.00
_cell_angle_gamma 90.00
loop_
_space_group_symop_operation_xyz
'x,y,z'
loop_
_atom_site_label
_atom_site_fract_x
_atom_site_fract_y
_atom_site_fract_z
_atom_site_occupancy
K1 0.000 0.000 0.000 1
As1 0.000 0.500 0.500 1
As2 0.500 0.000 0.500 1
As3 0.500 0.500 0.000 1
F1 0.500 0.500 0.500 1
```

Results
energy = -3.320 eV/atom
DOS at the Fermi energy = 2.61 states/eV/f.u.
uncorrected formation energy = 0.0637 eV/atom
symmetry = Pm-3m

Entry 6:
Material: Mn3As
Method: DFT, PBE
State: optimized geometry

The structure in CIF format:
```
data_Mn3As
_chemical_formula_sum 'Mn6 As2'
_space_group_name_H-M_alt 'P 1'
_space_group_IT_number 1
_cell_length_a 4.206
_cell_length_b 5.154
_cell_length_c 4.369
_cell_angle_alpha 90.00
_cell_angle_beta 90.00
_cell_angle_gamma 90.00
loop_
_space_group_symop_operation_xyz
'x,y,z'
loop_
_atom_site_label
_atom_site_fract_x
_atom_site_fract_y
_atom_site_fract_z
_atom_site_occupancy
Mn1 0.250 0.003 0.170 1
Mn2 0.250 0.497 0.170 1
Mn3 0.250 0.750 0.680 1
Mn4 0.750 0.250 0.320 1
Mn5 0.750 0.503 0.830 1
Mn6 0.750 0.997 0.830 1
As1 0.250 0.250 0.672 1
As2 0.750 0.750 0.328 1
```

Results
energy = -8.013 eV/atom
DOS at the Fermi energy = 4.12 states/eV/f.u.
symmetry = Pmmn
energy relative to the elements = 0.0268 eV per atom

Entry 7:
Material: LiTbB4
Method: DFT, PBE
State: optimized geometry

The structure in CIF format:
```
data_LiTbB4
_chemical_formula_sum 'Li4 Tb4 B16'
_space_group_name_H-M_alt 'P 1'
_space_group_IT_number 1
_cell_length_a 5.956
_cell_length_b 11.363
_cell_length_c 3.649
_cell_angle_alpha 90.00
_cell_angle_beta 90.00
_cell_angle_gamma 90.00
loop_
_space_group_symop_operation_xyz
'x,y,z'
loop_
_atom_site_label
_atom_site_fract_x
_atom_site_fract_y
_atom_site_fract_z
_atom_site_occupancy
Li1 0.129 0.085 0.000 1
Li2 0.371 0.585 0.000 1
Li3 0.629 0.415 0.000 1
Li4 0.871 0.915 0.000 1
Tb1 0.125 0.349 0.000 1
Tb2 0.375 0.849 0.000 1
Tb3 0.625 0.151 0.000 1
Tb4 0.875 0.651 0.000 1
B1 0.026 0.807 0.500 1
B2 0.115 0.955 0.500 1
B3 0.133 0.530 0.500 1
B4 0.215 0.686 0.500 1
B5 0.285 0.186 0.500 1
B6 0.367 0.030 0.500 1
B7 0.385 0.455 0.500 1
B8 0.474 0.307 0.500 1
B9 0.526 0.693 0.500 1
B10 0.615 0.545 0.500 1
B11 0.633 0.970 0.500 1
B12 0.715 0.814 0.500 1
B13 0.785 0.314 0.500 1
B14 0.867 0.470 0.500 1
B15 0.885 0.045 0.500 1
B16 0.974 0.193 0.500 1
```

Results
energy = -5.934 eV/atom
DOS at the Fermi energy = 2.00 states/eV/f.u.
symmetry = Pbam
energy relative to the elements = -0.3918 eV per atom

Entry 8:
Material: ErPu2MnN4
Method: DFT, PBE
State: optimized geometry

The structure in CIF format:
```
data_ErPu2MnN4
_chemical_formula_sum 'Er2 Pu4 Mn2 N8'
_space_group_name_H-M_alt 'P 1'
_space_group_IT_number 1
_cell_length_a 5.892
_cell_length_b 5.892
_cell_length_c 11.469
_cell_angle_alpha 90.00
_cell_angle_beta 90.00
_cell_angle_gamma 147.64
loop_
_space_group_symop_operation_xyz
'x,y,z'
loop_
_atom_site_label
_atom_site_fract_x
_atom_site_fract_y
_atom_site_fract_z
_atom_site_occupancy
Er1 0.110 0.890 0.750 1
Er2 0.890 0.110 0.250 1
Pu1 0.368 0.632 0.553 1
Pu2 0.368 0.632 0.947 1
Pu3 0.632 0.368 0.053 1
Pu4 0.632 0.368 0.447 1
Mn1 0.154 0.846 0.250 1
Mn2 0.846 0.154 0.750 1
N1 0.000 0.000 0.000 1
N2 0.000 0.000 0.500 1
N3 0.272 0.728 0.126 1
N4 0.272 0.728 0.374 1
N5 0.451 0.549 0.750 1
N6 0.549 0.451 0.250 1
N7 0.728 0.272 0.626 1
N8 0.728 0.272 0.874 1
```

Results
energy = -10.516 eV/atom
DOS at the Fermi energy = 10.18 states/eV/f.u.
uncorrected formation energy = -1.0542 eV/atom
symmetry = Cmcm

Entry 9:
Material: HoTm5Tl
Method: DFT, PBE
State: optimized geometry

The structure in CIF format:
```
data_HoTm5Tl
_chemical_formula_sum 'Ho1 Tm5 Tl1'
_space_group_name_H-M_alt 'P 1'
_space_group_IT_number 1
_cell_length_a 7.582
_cell_length_b 7.582
_cell_length_c 7.582
_cell_angle_alpha 116.98
_cell_angle_beta 82.64
_cell_angle_gamma 132.40
loop_
_space_group_symop_operation_xyz
'x,y,z'
loop_
_atom_site_label
_atom_site_fract_x
_atom_site_fract_y
_atom_site_fract_z
_atom_site_occupancy
Ho1 0.000 0.000 0.000 1
Tm1 0.128 0.379 0.749 1
Tm2 0.202 0.702 0.500 1
Tm3 0.497 0.312 0.815 1
Tm4 0.497 0.682 0.185 1
Tm5 0.631 0.379 0.251 1
Tl1 0.728 0.228 0.500 1
```

Results
energy = -3.433 eV/atom
DOS at the Fermi energy = 8.44 states/eV/f.u.
symmetry = Imm2
energy relative to the elements = 0.7531 eV per atom

Entry 10:
Material: BePtAu2
Method: DFT, PBE
State: optimized geometry

The structure in CIF format:
```
data_BePtAu2
_chemical_formula_sum 'Be1 Pt1 Au2'
_space_group_name_H-M_alt 'P 1'
_space_group_IT_number 1
_cell_length_a 2.870
_cell_length_b 2.870
_cell_length_c 7.256
_cell_angle_alpha 90.00
_cell_angle_beta 90.00
_cell_angle_gamma 90.00
loop_
_space_group_symop_operation_xyz
'x,y,z'
loop_
_atom_site_label
_atom_site_fract_x
_atom_site_fract_y
_atom_site_fract_z
_atom_site_occupancy
Be1 0.000 0.000 0.000 1
Pt1 0.500 0.500 0.168 1
Au1 0.000 0.000 0.466 1
Au2 0.500 0.500 0.770 1
```

Results
energy = -4.366 eV/atom
DOS at the Fermi energy = 1.61 states/eV/f.u.
symmetry = P4mm
energy relative to the elements = -0.2855 eV per atom

Entry 11:
Material: Li2CaIr2
Method: DFT, PBE
State: optimized geometry

The structure in CIF format:
```
data_Li2CaIr2
_chemical_formula_sum 'Li2 Ca1 Ir2'
_space_group_name_H-M_alt 'P 1'
_space_group_IT_number 1
_cell_length_a 5.685
_cell_length_b 5.685
_cell_length_c 5.685
_cell_angle_alpha 135.15
_cell_angle_beta 135.15
_cell_angle_gamma 65.30
loop_
_space_group_symop_operation_xyz
'x,y,z'
loop_
_atom_site_label
_atom_site_fract_x
_atom_site_fract_y
_atom_site_fract_z
_atom_site_occupancy
Li1 0.250 0.750 0.500 1
Li2 0.750 0.250 0.500 1
Ca1 0.000 0.000 0.000 1
Ir1 0.375 0.375 0.000 1
Ir2 0.625 0.625 0.000 1
```

Results
energy = -4.565 eV/atom
DOS at the Fermi energy = 5.04 states/eV/f.u.
symmetry = I4/mmm
energy relative to the elements = 0.1456 eV per atom

Entry 12:
Material: Pu2AgCl8
Method: DFT, PBE
State: optimized geometry

The structure in CIF format:
```
data_Pu2AgCl8
_chemical_formula_sum 'Pu2 Ag1 Cl8'
_space_group_name_H-M_alt 'P 1'
_space_group_IT_number 1
_cell_length_a 7.772
_cell_length_b 7.772
_cell_length_c 7.641
_cell_angle_alpha 105.09
_cell_angle_beta 105.09
_cell_angle_gamma 89.33
loop_
_space_group_symop_operation_xyz
'x,y,z'
loop_
_atom_site_label
_atom_site_fract_x
_atom_site_fract_y
_atom_site_fract_z
_atom_site_occupancy
Pu1 0.155 0.155 0.014 1
Pu2 0.845 0.845 0.986 1
Ag1 0.000 0.000 0.500 1
Cl1 0.097 0.799 0.781 1
Cl2 0.201 0.903 0.219 1
Cl3 0.236 0.236 0.734 1
Cl4 0.384 0.384 0.242 1
Cl5 0.616 0.616 0.758 1
Cl6 0.764 0.764 0.266 1
Cl7 0.799 0.097 0.781 1
Cl8 0.903 0.201 0.219 1
```

Results
energy = -5.564 eV/atom
DOS at the Fermi energy = 18.00 states/eV/f.u.
uncorrected formation energy = -1.3557 eV/atom
symmetry = C2/m

Q: Which value of energy does entry 10 give?
A: -4.366 eV/atom